No. 1
DFT (PBE-GGA) results for a relaxed TbPmTm2 crystal.

```
12
Lattice="3.5679 0.0000 0.0000 -1.7840 3.0899 0.0000 0.0000 0.0000 34.3931" Properties=species:S:1:pos:R:3 pbc="T T T"
Tb 0.0000 0.0000 0.0000
Tb 0.0000 2.0599 22.9287
Tb 1.7840 1.0300 11.4644
Pm 0.0000 0.0000 28.6914
Pm 0.0000 2.0599 17.2270
Pm 1.7840 1.0300 5.7626
Tm 0.0000 0.0000 14.3011
Tm 0.0000 0.0000 20.1061
Tm 0.0000 2.0599 2.8367
Tm 0.0000 2.0599 8.6417
Tm 1.7840 1.0300 25.7655
Tm 1.7840 1.0300 31.5704
```

Calculated values
The total moment is 0.00 Bohr magnetons per cell. The offset from the most stable computed form is 0.0056 eV per atom. As for the density of states at the Fermi level: 16.9 states/eV per cell. The value obtained for the formation energy is 0.02 eV per atom. The value obtained for the raw total energy is -0.33522 Ry per atom.



No. 2
DFT (PBE-GGA) results for a relaxed Li3Cd2Ag3 crystal.

```
16
Lattice="15.4299 0.0000 0.0000 0.0000 4.3467 0.0000 -1.2653 0.0000 4.2467" Properties=species:S:1:pos:R:3 pbc="T T T"
Li 0.0000 0.0000 0.0000
Li 1.0809 0.0000 2.6417
Li 5.3687 2.1733 1.6050
Li 7.7150 2.1733 0.0000
Li 8.7959 2.1733 2.6417
Li 13.0837 0.0000 1.6050
Cd 3.5442 0.0000 1.0639
Cd 2.9054 2.1733 3.1828
Cd 10.6204 0.0000 3.1828
Cd 11.2592 2.1733 1.0639
Ag -0.6327 2.1733 2.1233
Ag 1.6751 2.1733 0.5000
Ag 4.7746 0.0000 3.7467
Ag 7.0823 0.0000 2.1233
Ag 9.3901 0.0000 0.5000
Ag 12.4895 2.1733 3.7467
```

Calculated values
The total moment is 0.00 Bohr magnetons per cell. As for the density of states at the Fermi level: 5.9 states/eV per cell. The value obtained for the formation energy is -0.19 eV per atom. The value obtained for the raw total energy is -0.16179 Ry per atom.



No. 3
DFT (PBE-GGA) results for a relaxed CaCo5 crystal.

```
12
Lattice="10.7759 0.0000 0.0000 0.0000 2.7169 0.0000 -0.3600 0.0000 5.7763" Properties=species:S:1:pos:R:3 pbc="T T T"
Ca 0.0000 0.0000 0.0000
Ca 5.3880 1.3584 0.0000
Co 1.2450 1.3584 2.8919
Co 2.1157 1.3584 5.5731
Co 2.9073 0.0000 1.6087
Co 2.9740 0.0000 3.9311
Co 4.6139 1.3584 2.7973
Co 6.6330 0.0000 2.8919
Co 7.5037 0.0000 5.5731
Co 8.2952 1.3584 1.6087
Co 8.3619 1.3584 3.9311
Co 10.0019 0.0000 2.7973
```

Calculated values
The total moment is 15.41 Bohr magnetons per cell. As for the density of states at the Fermi level: 12.3 states/eV per cell. The value obtained for the formation energy is 0.29 eV per atom. The value obtained for the raw total energy is -0.43848 Ry per atom.



No. 4
DFT (PBE-GGA) results for a relaxed CdIn2Sb crystal.

```
8
Lattice="4.9034 0.0000 0.0000 0.0000 5.1004 0.0000 0.0000 0.0000 8.6192" Properties=species:S:1:pos:R:3 pbc="T T T"
Cd 0.0000 0.0000 0.0000
Cd 2.4517 2.5502 4.3096
In 0.0000 0.0000 4.3073
In 0.0000 2.5502 6.4599
In 2.4517 0.0000 2.1503
In 2.4517 2.5502 8.6169
Sb 0.0000 2.5502 2.1693
Sb 2.4517 0.0000 6.4788
```

Calculated values
The total moment is 0.00 Bohr magnetons per cell. The offset from the most stable computed form is 0.0261 eV per atom. As for the density of states at the Fermi level: 3.7 states/eV per cell. The formation energy from raw total energies comes out at 0.0631 eV/atom. The value obtained for the raw total energy is -0.18856 Ry per atom.



No. 5
DFT (PBE-GGA) results for a relaxed Er5Cd2Hg2 crystal.

```
18
Lattice="8.2988 -3.6049 0.0000 8.2988 3.6049 0.0000 0.0000 0.0000 8.1705" Properties=species:S:1:pos:R:3 pbc="T T T"
Er 0.0000 0.0000 0.0000
Er 6.0109 2.3358 5.5720
Er 6.0109 1.2691 1.4868
Er 10.5868 2.3358 5.5720
Er 10.5868 1.2691 1.4868
Er 8.2988 0.0000 4.0852
Er 6.0109 -1.2691 6.6837
Er 6.0109 -2.3358 2.5985
Er 10.5868 -1.2691 6.6837
Er 10.5868 -2.3358 2.5985
Cd 3.5885 0.0000 0.0000
Cd 4.7103 0.0000 4.0852
Cd 11.8874 0.0000 4.0852
Cd 13.0091 0.0000 0.0000
Hg 8.2988 2.7747 2.9024
Hg 8.2988 0.8302 6.9877
Hg 8.2988 -0.8302 1.1828
Hg 8.2988 -2.7747 5.2681
```

Calculated values
The total moment is 0.00 Bohr magnetons per cell. As for the density of states at the Fermi level: 16.9 states/eV per cell. The value obtained for the formation energy is -0.27 eV per atom. The value obtained for the raw total energy is -0.22581 Ry per atom.



No. 6
DFT (PBE-GGA) results for a relaxed RbAl3W crystal.

```
5
Lattice="5.0591 0.0000 0.0000 0.0000 5.0591 0.0000 0.0000 0.0000 5.0591" Properties=species:S:1:pos:R:3 pbc="T T T"
Rb 0.0000 0.0000 0.0000
Al 0.0000 0.0000 2.5296
Al 0.0000 2.5296 0.0000
Al 2.5296 0.0000 0.0000
W 2.5296 2.5296 2.5296
```

Calculated values
The total moment is 0.00 Bohr magnetons per cell. The offset from the most stable computed form is 2.4231 eV per atom. As for the density of states at the Fermi level: 7.8 states/eV per cell. The value obtained for the formation energy is 2.85 eV per atom. The value obtained for the raw total energy is -0.16016 Ry per atom.



No. 7
DFT (PBE-GGA) results for a relaxed CrFe4Os crystal.

```
6
Lattice="0.0000 3.2829 3.2829 3.2829 0.0000 3.2829 3.2829 3.2829 0.0000" Properties=species:S:1:pos:R:3 pbc="T T T"
Cr 0.0000 0.0000 0.0000
Fe 2.4640 2.4640 2.4640
Fe 4.1019 4.1019 2.4640
Fe 4.1019 2.4640 4.1019
Fe 2.4640 4.1019 4.1019
Os 4.9244 4.9244 4.9244
```

Calculated values
The total moment is 5.14 Bohr magnetons per cell. As for the density of states at the Fermi level: 6.5 states/eV per cell. The value obtained for the formation energy is 0.10 eV per atom. The value obtained for the raw total energy is -0.66291 Ry per atom.



No. 8
DFT (PBE-GGA) results for a relaxed TcOs2PbC crystal.

```
5
Lattice="4.7623 0.0000 0.0000 0.0000 4.7623 0.0000 0.0000 0.0000 5.2359" Properties=species:S:1:pos:R:3 pbc="T T T"
Tc 0.0000 0.0000 0.0000
Os 0.0000 2.3812 0.0000
Os 2.3812 0.0000 0.0000
Pb 0.0000 0.0000 2.6179
C 2.3812 2.3812 2.6179
```

Calculated values
The total moment is 0.12 Bohr magnetons per cell. The offset from the most stable computed form is 2.2775 eV per atom. As for the density of states at the Fermi level: 5.3 states/eV per cell. The value obtained for the formation energy is 2.96 eV per atom. The value obtained for the raw total energy is -0.45502 Ry per atom.



No. 9
DFT (PBE-GGA) results for a relaxed AcEr2MnN4 crystal.

```
16
Lattice="1.7310 -5.8829 0.0000 1.7310 5.8829 0.0000 0.0000 0.0000 11.6290" Properties=species:S:1:pos:R:3 pbc="T T T"
Ac 1.7310 4.7166 8.7217
Ac 1.7310 -4.7166 2.9072
Er 1.7310 1.5349 6.3405
Er 1.7310 1.5349 11.1030
Er 1.7310 -1.5349 0.5260
Er 1.7310 -1.5349 5.2885
Mn 1.7310 3.9116 2.9072
Mn 1.7310 -3.9116 8.7217
N 0.0000 0.0000 0.0000
N 0.0000 0.0000 5.8145
N 1.7310 2.7748 1.4178
N 1.7310 2.7748 4.3967
N 1.7310 0.9804 8.7217
N 1.7310 -0.9804 2.9072
N 1.7310 -2.7748 7.2323
N 1.7310 -2.7748 10.2112
```

Calculated values
The total moment is 7.19 Bohr magnetons per cell. As for the density of states at the Fermi level: 7.5 states/eV per cell. The formation energy from raw total energies comes out at -1.2135 eV/atom. The value obtained for the raw total energy is -0.60097 Ry per atom.



No. 10
DFT (PBE-GGA) results for a relaxed Pm5DyEr2 crystal.

```
16
Lattice="7.1988 0.0000 0.0000 0.0000 14.3991 0.0000 0.0000 0.0000 5.0888" Properties=species:S:1:pos:R:3 pbc="T T T"
Pm 0.0000 0.0000 0.0000
Pm 0.0052 3.6118 0.0000
Pm 1.7913 8.9901 2.5444
Pm 1.8081 1.7905 2.5444
Pm 3.5942 10.8114 0.0000
Pm 3.5994 7.1995 0.0000
Pm 3.6045 3.5877 0.0000
Pm 5.3906 12.6086 2.5444
Pm 5.4075 5.4090 2.5444
Pm 7.1936 10.7872 0.0000
Dy 0.0000 7.1995 0.0000
Dy 3.5994 0.0000 0.0000
Er 1.8001 5.4103 2.5444
Er 1.7993 12.6098 2.5444
Er 5.3995 1.7893 2.5444
Er 5.3987 8.9888 2.5444
```

Calculated values
The total moment is 0.00 Bohr magnetons per cell. As for the density of states at the Fermi level: 23.1 states/eV per cell. The value obtained for the formation energy is 0.02 eV per atom. The value obtained for the raw total energy is -0.34316 Ry per atom.